No. 1
VASP calculation (SCAN) on a PBEsol-optimized structure of NaCaPbF2.

```
5
Lattice="4.796 0.000 0.000 0.000 4.796 0.000 0.000 0.000 5.972" Properties=species:S:1:pos:R:3 pbc="T T T"
Pb 0.000 0.000 0.000
Na 0.000 0.000 2.986
Ca 2.398 2.398 2.986
F 0.000 2.398 0.000
F 2.398 0.000 0.000
```

=====

No. 2
VASP calculation (SCAN) on a PBEsol-optimized structure of CaNb2F.

```
4
Lattice="-1.177 4.539 -0.207 -2.799 1.850 3.282 1.744 3.022 3.140" Properties=species:S:1:pos:R:3 pbc="T T T"
Nb -0.558 2.353 1.554
Nb -1.674 7.058 4.661
Ca -1.116 4.705 3.107
F 0.000 0.000 0.000
```

=====

No. 3
VASP calculation (SCAN) on a PBEsol-optimized structure of Ca7NbSi4O17F.

```
60
Lattice="7.371 0.000 -0.011 0.000 10.421 0.000 -3.632 0.000 10.205" Properties=species:S:1:pos:R:3 pbc="T T T"
Ca 0.169 6.748 9.509
Ca 1.985 3.673 4.406
Ca 3.845 6.958 9.365
Ca 5.661 3.463 4.262
Ca 2.133 3.960 8.243
Ca 3.949 6.461 3.141
Ca -1.732 3.854 8.477
Ca 0.084 6.566 3.374
Ca 0.264 1.416 6.702
Ca 2.080 9.004 1.599
Ca 1.980 8.718 5.833
Ca 3.796 1.703 0.731
Ca -1.743 8.824 5.726
Ca 0.074 1.596 0.624
Nb 3.879 1.451 6.942
Nb 5.695 8.969 1.840
Si 3.523 0.713 3.660
Si 1.706 9.707 8.762
Si 0.374 0.575 3.849
Si -1.442 9.846 8.951
Si 0.354 5.779 6.289
Si 2.170 4.641 1.187
Si 3.634 5.821 6.190
Si 5.450 4.599 1.088
O 3.932 0.121 5.133
O 5.748 10.299 0.031
O 0.124 10.104 5.193
O 1.940 0.317 0.090
O 4.164 10.378 2.353
O 2.348 0.043 7.456
O -0.455 0.153 2.511
O -2.271 10.267 7.614
O 3.711 2.307 3.483
O 1.895 8.114 8.585
O 0.217 2.133 4.250
O -1.600 8.287 9.352
O -0.032 5.239 7.770
O 1.784 5.182 2.668
O 4.106 5.273 7.638
O 5.923 5.147 2.536
O -0.104 4.863 5.036
O -1.921 5.558 10.138
O 4.052 4.968 4.869
O 2.236 5.453 9.972
O 0.082 7.342 5.932
O 1.898 3.078 0.830
O 3.862 7.408 5.949
O 5.678 3.013 0.847
O -1.927 2.396 6.433
O -0.111 8.024 1.330
O 2.373 2.483 6.349
O 4.190 7.937 1.246
O 3.826 2.302 8.631
O 5.642 8.119 3.528
O 1.936 0.265 3.376
O 0.120 10.156 8.479
O 2.000 5.498 6.269
O 3.816 4.923 1.166
F 0.258 2.583 8.690
F 2.074 7.838 3.588
```

=====

No. 4
VASP calculation (SCAN) on a PBEsol-optimized structure of CaZrNbF2.

```
5
Lattice="-3.287 1.337 1.962 1.470 -1.486 3.475 3.835 7.255 1.481" Properties=species:S:1:pos:R:3 pbc="T T T"
Nb 1.009 3.553 3.459
Ca 0.000 0.000 0.000
Zr 1.918 3.627 0.741
F 0.735 -0.743 1.737
F -1.644 0.669 0.981
```

=====

No. 5
VASP calculation (SCAN) on a PBEsol-optimized structure of CaNiF6.

```
8
Lattice="5.011 0.000 0.000 2.505 4.339 0.000 2.505 1.446 4.635" Properties=species:S:1:pos:R:3 pbc="T T T"
Ni 0.000 0.000 0.000
Ca 5.011 2.893 2.317
F 5.829 1.198 1.036
F 3.134 3.032 1.036
F 3.952 1.337 3.598
F 6.888 2.754 3.598
F 4.193 4.588 3.598
F 6.069 4.449 1.036
```

=====

No. 6
VASP calculation (SCAN) on a PBEsol-optimized structure of CaNiF5.

```
28
Lattice="-2.552 0.354 4.552 -4.912 -1.001 -5.889 0.638 -9.631 1.106" Properties=species:S:1:pos:R:3 pbc="T T T"
Ca -4.216 -10.007 -1.155
Ca -4.774 -5.185 -1.515
Ca -2.610 -0.272 0.923
Ca -2.052 -5.094 1.283
Ni -4.972 -2.651 0.725
Ni -4.316 -8.041 -3.911
Ni -1.855 -7.628 -0.956
Ni -2.510 -2.238 3.679
F -4.051 -1.569 -0.429
F -5.387 -6.855 -3.017
F -2.775 -8.710 0.198
F -1.440 -3.424 2.786
F -3.870 -4.042 0.324
F -5.234 -9.436 -3.190
F -2.956 -6.237 -0.555
F -1.593 -0.843 2.958
F -5.984 -6.279 -0.016
F -3.490 -1.612 -3.491
F -0.843 -4.000 -0.215
F -3.337 -8.667 3.260
F -5.840 -8.824 -0.272
F -3.305 -4.030 -2.665
F -0.986 -1.455 0.041
F -3.521 -6.249 2.434
F -6.065 -3.310 -0.782
F -3.169 -8.194 -2.310
F -0.761 -6.969 0.551
F -3.657 -2.085 2.079
```

Values from the calculation:
- Energy above the most stable polymorph in this dataset: 4.2 meV/atom

=====

Number 1: uncorrected formation energy -1.112 eV per atom. Number 2: uncorrected formation energy 1.103 eV per atom. Number 3: uncorrected formation energy -3.343 eV per atom. Number 4: uncorrected formation energy -1.054 eV per atom. Number 5: uncorrected formation energy -2.664 eV per atom. Number 6: uncorrected formation energy -2.915 eV per atom.